# PuMn3B4O12 | Alexandria | PBE+U | optimized geometry
# Crystal system = trigonal
# DFT total energy = -487.92 eV per cell
data_PuMn3B4O12
_chemical_formula_sum 'Pu3 Mn9 B12 O36'
_cell_length_a 9.5713
_cell_length_b 9.5713
_cell_length_c 7.6206
_cell_angle_alpha 90.00
_cell_angle_beta 90.00
_cell_angle_gamma 120.00
_symmetry_space_group_name_H-M 'R 3 2'
_symmetry_Int_Tables_number 155
_symmetry_space_group_name_Hall 'R 3 2"'
loop_
_atom_site_label
_atom_site_type_symbol
_atom_site_fract_x
_atom_site_fract_y
_atom_site_fract_z
Pu1 Pu 0.0000 0.0000 0.0000
Mn1 Mn 0.0000 0.5550 0.0000
B1 B 0.0000 0.0000 0.5000
B2 B 0.0000 0.4428 0.5000
O1 O 0.0000 0.5883 0.5000
O2 O 0.0000 0.8549 0.5000
O3 O 0.0294 0.2159 0.1860